Sr3Tb2PmTe6 after structural relaxation, computed with PBE.

Lattice parameters (Å, degrees): 7.8139 7.8139 8.0140 99.38 99.38 119.93
Last column: nearest neighbours and their distance in Å.
Atoms (fractional coordinates):
Sr 0.1647 0.8353 0.5000  6 Te 3.28-3.31
Sr 0.8353 0.1647 0.5000  6 Te 3.28-3.31
Sr 0.5000 0.5000 0.5000  6 Te 3.27-3.30
Tb 0.3326 0.6674 0.0000  6 Te 3.13-3.14
Tb 0.6674 0.3326 0.0000  6 Te 3.13-3.14
Pm 0.0000 0.0000 0.0000  6 Te 3.18-3.19
Te 0.9216 0.5833 0.7650  2 Tb 3.13-3.14, 1 Pm 3.19, 3 Sr 3.28-3.31
Te 0.7392 0.7392 0.2332  2 Tb 3.14, 1 Pm 3.18, 3 Sr 3.27-3.29
Te 0.0784 0.4167 0.2350  2 Tb 3.13-3.14, 1 Pm 3.19, 3 Sr 3.28-3.31
Te 0.5833 0.9216 0.7650  2 Tb 3.13-3.14, 1 Pm 3.19, 3 Sr 3.28-3.31
Te 0.2608 0.2608 0.7668  2 Tb 3.14, 1 Pm 3.18, 3 Sr 3.27-3.29
Te 0.4167 0.0784 0.2350  2 Tb 3.13-3.14, 1 Pm 3.19, 3 Sr 3.28-3.31

Energy relative to the elements, uncorrected, eV/f.u.: -18.213
Density of states at the Fermi level, states/eV/atom: 0.4353